A plane-wave DFT calculation with GGA-PBE was carried out for a relaxed Hf4Re crystal.

a b c (Å): 6.030 6.200 6.747
angles (deg): 117.35 90.00 90.00
Fractional coordinates of all 10 atoms:
1 Hf 0.813 0.201 0.742
2 Hf 0.687 0.299 0.258
3 Hf 0.313 0.041 0.742
4 Hf 0.313 0.959 0.258
5 Hf 0.813 0.799 0.258
6 Hf 0.687 0.701 0.742
7 Hf 0.187 0.459 0.258
8 Hf 0.187 0.541 0.742
9 Re 0.500 0.500 0.000
10 Re 0.000 0.000 0.000

Formation enthalpy at 0 K in eV/atom: 0.250
SG: Ccce
Energy relative to the lowest polymorph listed for this composition in meV/atom: 0.0

---

A plane-wave DFT calculation with GGA-PBE was carried out for a relaxed Li2GaTcH6 crystal.

a b c (Å): 4.836 6.130 5.145
angles (deg): 107.46 97.82 126.76
Fractional coordinates of all 10 atoms:
1 Ga 0.377 0.872 0.928
2 Tc 0.921 0.933 0.930
3 H 0.724 0.602 0.942
4 H 0.802 0.656 0.601
5 H 0.170 0.013 0.267
6 H 0.782 0.021 0.678
7 H 0.029 0.270 0.165
8 H 0.360 0.189 0.930
9 Li 0.569 0.629 0.267
10 Li 0.232 0.293 0.594

E in eV/atom: -3.969
SG: P1

---

A plane-wave DFT calculation with GGA-PBE was carried out for a relaxed Ba5SnPd2 crystal.

a b c (Å): 8.788 8.788 10.172
angles (deg): 115.59 115.59 90.00
Fractional coordinates of all 16 atoms:
1 Pd 0.119 0.381 0.000
2 Pd 0.881 0.619 0.000
3 Pd 0.619 0.119 0.000
4 Pd 0.381 0.881 0.000
5 Sn 0.750 0.750 0.500
6 Sn 0.250 0.250 0.500
7 Ba 0.500 0.500 0.000
8 Ba 0.965 0.465 0.273
9 Ba 0.808 0.965 0.273
10 Ba 0.192 0.035 0.727
11 Ba 0.692 0.192 0.727
12 Ba 0.000 0.000 0.000
13 Ba 0.535 0.692 0.727
14 Ba 0.465 0.308 0.273
15 Ba 0.308 0.808 0.273
16 Ba 0.035 0.535 0.727

Formation enthalpy at 0 K in eV/atom: -0.507
SG: I4/mcm

---

Let's list Fermi-level density of states in order: 13.6; 0.0; 13.3 states/eV/cell.